Entry 1:
VASP calculation (PBE+U) on crystalline Ca3Co2Si4O14 at its relaxed geometry.

Space group: C2/c
ΔE to the lowest computed polymorph (eV per atom): 0.000

abc: 9.325 9.325 10.042
angles: 119.90 119.90 48.78
Sites, in units of the cell vectors:
Ca: 0.152 0.848 0.750
Ca: 0.270 0.338 0.541
Ca: 0.338 0.270 0.041
Ca: 0.662 0.730 0.959
Ca: 0.730 0.662 0.459
Ca: 0.848 0.152 0.250
Co: 0.290 0.710 0.250
Co: 0.500 0.500 0.000
Co: 0.500 0.500 0.500
Co: 0.710 0.290 0.750
Si: 0.036 0.615 0.845
Si: 0.038 0.709 0.353
Si: 0.291 0.962 0.147
Si: 0.385 0.964 0.655
Si: 0.615 0.036 0.345
Si: 0.709 0.038 0.853
Si: 0.962 0.291 0.647
Si: 0.964 0.385 0.155
O: 0.008 0.547 0.182
O: 0.032 0.609 0.680
O: 0.049 0.845 0.307
O: 0.155 0.951 0.193
O: 0.156 0.171 0.091
O: 0.171 0.156 0.591
O: 0.208 0.619 0.504
O: 0.241 0.559 0.986
O: 0.381 0.792 0.996
O: 0.391 0.968 0.820
O: 0.398 0.475 0.287
O: 0.441 0.759 0.514
O: 0.453 0.992 0.318
O: 0.475 0.398 0.787
O: 0.525 0.602 0.213
O: 0.547 0.008 0.682
O: 0.559 0.241 0.486
O: 0.602 0.525 0.713
O: 0.609 0.032 0.180
O: 0.619 0.208 0.004
O: 0.759 0.441 0.014
O: 0.792 0.381 0.496
O: 0.829 0.844 0.409
O: 0.844 0.829 0.909
O: 0.845 0.049 0.807
O: 0.951 0.155 0.693
O: 0.968 0.391 0.320
O: 0.992 0.453 0.818

---

Entry 2:
VASP calculation (PBE+U) on crystalline Ca3Co2Si3O12 at its relaxed geometry.

Space group: Ia-3d

abc: 10.521 10.521 10.521
angles: 109.47 109.47 109.47
Sites, in units of the cell vectors:
Ca: 0.125 0.250 0.375
Ca: 0.125 0.375 0.750
Ca: 0.250 0.375 0.125
Ca: 0.250 0.875 0.625
Ca: 0.375 0.125 0.250
Ca: 0.375 0.750 0.125
Ca: 0.625 0.250 0.875
Ca: 0.625 0.875 0.750
Ca: 0.750 0.125 0.375
Ca: 0.750 0.625 0.875
Ca: 0.875 0.625 0.250
Ca: 0.875 0.750 0.625
Co: 0.000 0.000 0.000
Co: 0.000 0.000 0.500
Co: 0.000 0.500 0.000
Co: 0.000 0.500 0.500
Co: 0.500 0.000 0.000
Co: 0.500 0.000 0.500
Co: 0.500 0.500 0.000
Co: 0.500 0.500 0.500
Si: 0.125 0.750 0.875
Si: 0.125 0.875 0.250
Si: 0.250 0.125 0.875
Si: 0.250 0.625 0.375
Si: 0.375 0.250 0.625
Si: 0.375 0.625 0.750
Si: 0.625 0.375 0.250
Si: 0.625 0.750 0.375
Si: 0.750 0.375 0.625
Si: 0.750 0.875 0.125
Si: 0.875 0.125 0.750
Si: 0.875 0.250 0.125
O: 0.009 0.203 0.116
O: 0.009 0.306 0.893
O: 0.087 0.703 0.694
O: 0.087 0.884 0.393
O: 0.107 0.616 0.413
O: 0.107 0.991 0.694
O: 0.116 0.009 0.203
O: 0.116 0.607 0.913
O: 0.194 0.203 0.587
O: 0.194 0.491 0.607
O: 0.203 0.116 0.009
O: 0.203 0.587 0.194
O: 0.297 0.306 0.913
O: 0.297 0.491 0.384
O: 0.306 0.893 0.009
O: 0.306 0.913 0.297
O: 0.384 0.297 0.491
O: 0.384 0.587 0.893
O: 0.393 0.087 0.884
O: 0.393 0.806 0.509
O: 0.413 0.107 0.616
O: 0.413 0.806 0.797
O: 0.491 0.384 0.297
O: 0.491 0.607 0.194
O: 0.509 0.393 0.806
O: 0.509 0.616 0.703
O: 0.587 0.194 0.203
O: 0.587 0.893 0.384
O: 0.607 0.194 0.491
O: 0.607 0.913 0.116
O: 0.616 0.413 0.107
O: 0.616 0.703 0.509
O: 0.694 0.087 0.703
O: 0.694 0.107 0.991
O: 0.703 0.509 0.616
O: 0.703 0.694 0.087
O: 0.797 0.413 0.806
O: 0.797 0.884 0.991
O: 0.806 0.509 0.393
O: 0.806 0.797 0.413
O: 0.884 0.393 0.087
O: 0.884 0.991 0.797
O: 0.893 0.009 0.306
O: 0.893 0.384 0.587
O: 0.913 0.116 0.607
O: 0.913 0.297 0.306
O: 0.991 0.694 0.107
O: 0.991 0.797 0.884

---

Entry 3:
VASP calculation (PBE+U) on crystalline Ca8Zn3CoSi8O28 at its relaxed geometry.

Space group: P-4

abc: 11.180 11.180 5.062
angles: 90.00 90.00 90.00
Sites, in units of the cell vectors:
Ca: 0.080 0.750 0.499
Ca: 0.250 0.080 0.501
Ca: 0.250 0.420 0.501
Ca: 0.420 0.750 0.499
Ca: 0.580 0.250 0.499
Ca: 0.750 0.580 0.501
Ca: 0.750 0.920 0.501
Ca: 0.920 0.250 0.499
Zn: 0.000 0.000 0.000
Zn: 0.000 0.500 0.000
Zn: 0.500 0.000 0.000
Co: 0.500 0.500 0.000
Si: 0.109 0.250 0.066
Si: 0.250 0.609 0.933
Si: 0.250 0.891 0.934
Si: 0.391 0.250 0.067
Si: 0.609 0.750 0.067
Si: 0.750 0.109 0.934
Si: 0.750 0.391 0.933
Si: 0.891 0.750 0.066
O: 0.052 0.134 0.221
O: 0.052 0.366 0.221
O: 0.108 0.250 0.748
O: 0.134 0.552 0.778
O: 0.134 0.948 0.779
O: 0.250 0.250 0.184
O: 0.250 0.750 0.816
O: 0.250 0.892 0.252
O: 0.251 0.607 0.251
O: 0.366 0.552 0.777
O: 0.366 0.948 0.779
O: 0.393 0.251 0.749
O: 0.448 0.134 0.222
O: 0.448 0.366 0.223
O: 0.552 0.634 0.223
O: 0.552 0.866 0.222
O: 0.607 0.749 0.749
O: 0.634 0.052 0.779
O: 0.634 0.448 0.777
O: 0.749 0.393 0.251
O: 0.750 0.108 0.252
O: 0.750 0.250 0.816
O: 0.750 0.750 0.184
O: 0.866 0.052 0.779
O: 0.866 0.448 0.778
O: 0.892 0.750 0.748
O: 0.948 0.634 0.221
O: 0.948 0.866 0.221

---

Entry 4:
VASP calculation (PBE+U) on crystalline CaSmCoO4 at its relaxed geometry.

Space group: I4mm
ΔE to the lowest computed polymorph (eV per atom): 0.006

abc: 6.517 6.517 6.517
angles: 146.70 146.70 47.81
Sites, in units of the cell vectors:
Ca: 0.000 0.000 0.000
Sm: 0.280 0.280 0.000
Co: 0.634 0.634 0.000
O: 0.148 0.648 0.500
O: 0.472 0.472 0.000
O: 0.648 0.148 0.500
O: 0.807 0.807 0.000

---

Entry 5:
VASP calculation (PBE+U) on crystalline CaSmCoO4 at its relaxed geometry.

Space group: Cmc2_1
ΔE to the lowest computed polymorph (eV per atom): 0.000

abc: 6.524 6.524 5.505
angles: 90.00 90.00 132.49
Sites, in units of the cell vectors:
Ca: 0.105 0.895 0.500
Ca: 0.895 0.105 0.000
Sm: 0.388 0.612 0.537
Sm: 0.612 0.388 0.037
Co: 0.249 0.751 0.017
Co: 0.751 0.249 0.517
O: 0.018 0.481 0.266
O: 0.082 0.918 0.072
O: 0.425 0.575 0.957
O: 0.481 0.018 0.766
O: 0.519 0.982 0.266
O: 0.575 0.425 0.457
O: 0.918 0.082 0.572
O: 0.982 0.519 0.766

---

Entry 6:
VASP calculation (PBE+U) on crystalline SrCaCo4O12 at its relaxed geometry.

Space group: P4/mmm

abc: 5.307 5.307 7.540
angles: 90.00 90.00 90.00
Sites, in units of the cell vectors:
Sr: 0.000 0.000 0.000
Ca: 0.500 0.500 0.500
Co: 0.000 0.500 0.251
Co: 0.000 0.500 0.749
Co: 0.500 0.000 0.251
Co: 0.500 0.000 0.749
O: 0.000 0.500 0.000
O: 0.000 0.500 0.500
O: 0.253 0.253 0.256
O: 0.253 0.253 0.744
O: 0.253 0.747 0.256
O: 0.253 0.747 0.744
O: 0.500 0.000 0.000
O: 0.500 0.000 0.500
O: 0.747 0.253 0.256
O: 0.747 0.253 0.744
O: 0.747 0.747 0.256
O: 0.747 0.747 0.744

---

Entry 7:
VASP calculation (PBE+U) on crystalline SrCa3Co4O12 at its relaxed geometry.

Space group: P4/mmm

abc: 7.547 7.547 3.880
angles: 90.00 90.00 90.00
Sites, in units of the cell vectors:
Sr: 0.000 0.000 0.000
Ca: 0.000 0.500 0.000
Ca: 0.500 0.000 0.000
Ca: 0.500 0.500 0.000
Co: 0.251 0.251 0.500
Co: 0.251 0.749 0.500
Co: 0.749 0.251 0.500
Co: 0.749 0.749 0.500
O: 0.000 0.256 0.500
O: 0.000 0.744 0.500
O: 0.250 0.500 0.500
O: 0.256 0.000 0.500
O: 0.257 0.257 0.000
O: 0.257 0.743 0.000
O: 0.500 0.250 0.500
O: 0.500 0.750 0.500
O: 0.743 0.257 0.000
O: 0.743 0.743 0.000
O: 0.744 0.000 0.500
O: 0.750 0.500 0.500

---

Entry 8:
VASP calculation (PBE+U) on crystalline SrCa2CoO4 at its relaxed geometry.

Space group: Cmcm

abc: 6.014 6.014 11.719
angles: 90.00 90.00 146.90
Sites, in units of the cell vectors:
Sr: 0.111 0.889 0.750
Sr: 0.889 0.111 0.250
Ca: 0.370 0.630 0.543
Ca: 0.370 0.630 0.957
Ca: 0.630 0.370 0.043
Ca: 0.630 0.370 0.457
Co: 0.153 0.847 0.250
Co: 0.847 0.153 0.750
O: 0.000 0.000 0.000
O: 0.000 0.000 0.500
O: 0.263 0.737 0.123
O: 0.263 0.737 0.377
O: 0.441 0.559 0.750
O: 0.559 0.441 0.250
O: 0.737 0.263 0.623
O: 0.737 0.263 0.877

---

| no. | raw total energy (eV/cell) |
| --- | --- |
| 1 | -330.11 |
| 2 | -566.20 |
| 3 | -338.25 |
| 4 | -48.38 |
| 5 | -96.84 |
| 6 | -99.05 |
| 7 | -119.12 |
| 8 | -99.51 |